(1)
Entry from Alexandria via LeMat-Bulk: crystalline Sc2BeW at its relaxed geometry (PBE).

a b c (Å): 9.0869 9.0869 9.0869
angles (deg): 19.26 19.26 19.26
Last column: nearest neighbours and their distance in Å.
Atoms (fractional coordinates):
W1 0.2500 0.2500 0.2500  6 Sc 2.96, 6 W 3.04
Be1 0.7500 0.7500 0.7500  6 Sc 2.72, 6 Be 3.04
Sc1 0.4944 0.4944 0.4944  3 Be 2.72, 3 W 2.96, 6 Sc 3.04
Sc2 0.0056 0.0056 0.0056  3 Be 2.72, 3 W 2.96, 6 Sc 3.04

Output
**Fermi-level density of states**: 0.92 states/eV/atom
**Calculated density**: 6.6 g/cm³
**Crystal system**: trigonal
**SG**: R-3m

=====

(2)
Entry from Alexandria via LeMat-Bulk: crystalline Mn2In2Br7 at its relaxed geometry (PBE).

a b c (Å): 7.9361 7.9361 13.6840
angles (deg): 96.56 96.56 103.45
Last column: nearest neighbours and their distance in Å.
Atoms (fractional coordinates):
Mn1 0.2393 0.2096 0.7085  4 Br 2.45-2.53
Br1 0.6271 0.9240 0.8918  1 Mn 2.45
Mn2 0.2096 0.2393 0.2085  4 Br 2.45-2.53
Br2 0.6201 0.6147 0.6285  1 Mn 2.48
Br3 0.4523 0.0960 0.6177  1 Mn 2.48
Br4 0.9155 0.0845 0.2500  2 Mn 2.53
Br5 0.3799 0.3853 0.3715  1 Mn 2.48
In1 0.3024 0.6952 0.9885  6 Br 3.06-3.29
Br6 0.3729 0.0760 0.1082  1 Mn 2.45
Br7 0.5477 0.9040 0.3823  1 Mn 2.48
Br8 0.3853 0.3799 0.8715  1 Mn 2.48
Mn3 0.7904 0.7607 0.7915  4 Br 2.45-2.53
Br9 0.0845 0.9155 0.7500  2 Mn 2.53
Br10 0.6147 0.6201 0.1285  1 Mn 2.48
Br11 0.0960 0.4523 0.1177  1 Mn 2.48
Mn4 0.7607 0.7904 0.2915  4 Br 2.45-2.53
Br12 0.9040 0.5477 0.8823  1 Mn 2.48
In2 0.3048 0.6976 0.5115  6 Br 3.06-3.29
Br13 0.0760 0.3729 0.6082  1 Mn 2.45
Br14 0.9240 0.6271 0.3918  1 Mn 2.45
In3 0.6952 0.3024 0.4885  6 Br 3.06-3.29
In4 0.6976 0.3048 0.0115  6 Br 3.06-3.29

Output
**Fermi-level density of states**: 0.34 states/eV/atom
**Calculated density**: 3.6 g/cm³
**Energy above the most stable polymorph in this dataset**: 0.0 meV/atom
**Crystal system**: monoclinic
**SG**: C2/c

=====

(3)
Entry from Alexandria via LeMat-Bulk: crystalline La9Tb4Er at its relaxed geometry (PBE).

a b c (Å): 11.5574 10.0467 10.0467
angles (deg): 120.00 90.00 90.00
Last column: nearest neighbours and their distance in Å.
Atoms (fractional coordinates):
La1 0.2500 0.4607 0.5393  2 Tb 3.38, 1 Er 3.58
Tb1 0.2500 0.1101 0.2202  4 Tb 3.32-3.47, 4 La 3.38-3.64
La2 0.5293 0.5854 0.7927  1 Er 3.36, 2 Tb 3.62-3.64, 2 La 3.67
La3 0.2500 0.4607 0.9215  2 Tb 3.38, 1 Er 3.58
La4 0.5293 0.2073 0.4146  1 Er 3.36, 2 Tb 3.62-3.64, 2 La 3.67
La5 0.2500 0.0785 0.5393  2 Tb 3.38, 1 Er 3.58
La6 0.0293 0.4146 0.2073  1 Er 3.36, 2 Tb 3.62-3.64, 2 La 3.67
Er1 0.2500 0.6667 0.3333  9 La 3.36-3.58
La7 0.4707 0.4146 0.2073  1 Er 3.36, 2 Tb 3.62-3.64, 2 La 3.67
Tb2 0.0000 0.0000 0.0000  6 Tb 3.47, 6 La 3.62
La8 0.0293 0.7927 0.2073  1 Er 3.36, 2 Tb 3.62-3.64, 2 La 3.67
Tb3 0.7500 0.8899 0.7798  4 Tb 3.32-3.47, 4 La 3.38-3.64
Tb4 0.2500 0.1101 0.8899  4 Tb 3.32-3.47, 4 La 3.38-3.64
Tb5 0.2500 0.7798 0.8899  4 Tb 3.32-3.47, 4 La 3.38-3.64
Tb6 0.7500 0.8899 0.1101  4 Tb 3.32-3.47, 4 La 3.38-3.64
La9 0.9707 0.2073 0.4146  1 Er 3.36, 2 Tb 3.62-3.64, 2 La 3.67
Er2 0.7500 0.3333 0.6667  9 La 3.36-3.58
La10 0.4707 0.7927 0.2073  1 Er 3.36, 2 Tb 3.62-3.64, 2 La 3.67
Tb7 0.5000 0.0000 0.0000  6 Tb 3.47, 6 La 3.62
La11 0.7500 0.5393 0.4607  2 Tb 3.38, 1 Er 3.58
La12 0.4707 0.7927 0.5854  1 Er 3.36, 2 Tb 3.62-3.64, 2 La 3.67
La13 0.5293 0.2073 0.7927  1 Er 3.36, 2 Tb 3.62-3.64, 2 La 3.67
La14 0.7500 0.9215 0.4607  2 Tb 3.38, 1 Er 3.58
La15 0.0293 0.7927 0.5854  1 Er 3.36, 2 Tb 3.62-3.64, 2 La 3.67
Tb8 0.7500 0.2202 0.1101  4 Tb 3.32-3.47, 4 La 3.38-3.64
La16 0.9707 0.5854 0.7927  1 Er 3.36, 2 Tb 3.62-3.64, 2 La 3.67
La17 0.7500 0.5393 0.0785  2 Tb 3.38, 1 Er 3.58
La18 0.9707 0.2073 0.7927  1 Er 3.36, 2 Tb 3.62-3.64, 2 La 3.67

Output
**Fermi-level density of states**: 1.63 states/eV/atom
**Calculated density**: 6.7 g/cm³
**Crystal system**: hexagonal
**SG**: P6_3/mmc

=====

(4)
Entry from Alexandria via LeMat-Bulk: crystalline BaNaBe2 at its relaxed geometry (PBE).

a b c (Å): 4.6560 4.6560 10.4022
angles (deg): 77.07 77.07 90.00
Last column: nearest neighbours and their distance in Å.
Atoms (fractional coordinates):
Be1 0.3749 0.1250 0.2500  2 Be 2.33
Be2 0.3750 0.6251 0.7500  2 Be 2.33
Be3 0.3751 0.6250 0.2500  2 Be 2.33
Na1 0.5000 0.5000 0.0000  4 Be 2.73
Be4 0.8750 0.6249 0.7500  2 Be 2.33
Ba1 0.0000 0.0000 0.0000  4 Na 3.29, 8 Be 3.59
Na2 0.2500 0.7500 0.5000  4 Be 2.73
Ba2 0.7500 0.2500 0.5000  4 Na 3.29, 8 Be 3.59

Output
**Fermi-level density of states**: 0.44 states/eV/atom
**Calculated density**: 2.8 g/cm³
**Energy above the most stable polymorph in this dataset**: 0.0 meV/atom
**Crystal system**: tetragonal
**SG**: I4_1/amd

=====

(5)
Entry from Alexandria via LeMat-Bulk: crystalline Ba2AcMg9 at its relaxed geometry (PBE).

a b c (Å): 6.3903 6.3903 11.0515
angles (deg): 73.20 73.20 60.00
Last column: nearest neighbours and their distance in Å.
Atoms (fractional coordinates):
Mg1 0.4207 0.9210 0.2376  7 Mg 3.07-3.30
Ba1 0.8579 0.8579 0.4264  12 Mg 3.75-3.96, 3 Ba 4.00
Mg2 0.6660 0.6660 0.0021  6 Mg 3.07-3.10
Mg3 0.5793 0.0790 0.7624  7 Mg 3.07-3.30
Mg4 0.0790 0.5793 0.7624  7 Mg 3.07-3.30
Mg5 0.4207 0.4207 0.2376  7 Mg 3.07-3.30
Mg6 0.3340 0.3340 0.9979  6 Mg 3.07-3.10
Mg7 0.5793 0.5793 0.7624  7 Mg 3.07-3.30
Mg8 0.9210 0.4207 0.2376  7 Mg 3.07-3.30
Mg9 0.5000 0.5000 0.5000  6 Mg 3.30
Ac1 0.0000 0.0000 0.0000  18 Mg 3.69-4.04
Ba2 0.1421 0.1421 0.5736  12 Mg 3.75-3.96, 3 Ba 4.00

Output
**Fermi-level density of states**: 0.78 states/eV/atom
**Calculated density**: 3.2 g/cm³
**Crystal system**: trigonal
**SG**: R-3m

=====

(6)
Entry from Alexandria via LeMat-Bulk: crystalline TlFeRu2 at its relaxed geometry (PBE).

a b c (Å): 4.0938 2.8809 5.6734
angles (deg): 72.81 90.00 90.00
Last column: nearest neighbours and their distance in Å.
Atoms (fractional coordinates):
Ru1 0.0000 0.9101 0.9646  2 Fe 2.49, 1 Ru 2.64
Tl1 0.5000 0.2500 0.2500  2 Fe 2.78, 2 Tl 2.88, 8 Ru 2.93-2.95
Fe1 0.5000 0.7500 0.7500  4 Ru 2.49, 2 Tl 2.78
Ru2 0.0000 0.5899 0.5354  2 Fe 2.49, 1 Ru 2.64

Output
**Fermi-level density of states**: 1.00 states/eV/atom
**Calculated density**: 12.0 g/cm³
**Energy above the most stable polymorph in this dataset**: 120.4 meV/atom
**Crystal system**: monoclinic
**SG**: P2/m

=====

The following size of the total moment values (in μB/atom) correspond, in order, to the records above: 0.000 0.818 0.000 0.000 0.000 0.994.
The following VASP energy values (in eV per cell) correspond, in order, to the records above: -27.756 -85.964 -130.812 -15.870 -23.117 -27.284.